[1]
A relaxed structure of Y2MnCo2, computed with PBE.

CIF file:
```
data_Y2MnCo2
_chemical_formula_sum 'Y4 Mn2 Co4'
_cell_length_a 5.267
_cell_length_b 5.267
_cell_length_c 7.304
_cell_angle_alpha 90.00
_cell_angle_beta 90.00
_cell_angle_gamma 90.00
_symmetry_space_group_name_H-M 'I 4/m m m'
_symmetry_Int_Tables_number 139
_symmetry_space_group_name_Hall '-I 4 2'
loop_
_atom_site_label
_atom_site_type_symbol
_atom_site_fract_x
_atom_site_fract_y
_atom_site_fract_z
_atom_site_occupancy
Y1 Y 0.000 0.500 0.250 1
Mn1 Mn 0.000 0.000 0.000 1
Co1 Co 0.000 0.000 0.339 1
```

Properties
The magnetization is 9.925 μB/cell. The volume comes out at 203 Å³/cell. The calculation puts the calculated density at 5.75 g cm⁻³. The calculation puts the formation energy at 0.228 eV/atom.



[2]
A relaxed structure of La2BiPdO6, computed with PBE.

CIF file:
```
data_La2BiPdO6
_chemical_formula_sum 'La4 Bi2 Pd2 O12'
_cell_length_a 5.357
_cell_length_b 5.807
_cell_length_c 11.513
_cell_angle_alpha 90.00
_cell_angle_beta 116.43
_cell_angle_gamma 90.00
_symmetry_space_group_name_H-M 'P 1 21/c 1'
_symmetry_Int_Tables_number 14
_symmetry_space_group_name_Hall '-P 2ybc'
loop_
_atom_site_label
_atom_site_type_symbol
_atom_site_fract_x
_atom_site_fract_y
_atom_site_fract_z
_atom_site_occupancy
La1 La 0.215 0.053 0.250 1
Bi1 Bi 0.500 0.000 0.000 1
Pd1 Pd 0.000 0.000 0.500 1
O1 O 0.105 0.231 0.917 1
O2 O 0.171 0.707 0.907 1
O3 O 0.424 0.064 0.794 1
```

Properties
The magnetization is 0.000 μB/cell. The volume comes out at 321 Å³/cell. The calculation puts the calculated density at 7.14 g cm⁻³. The electronic total energy is -138.94 eV/cell.



[3]
A relaxed structure of BeReCl2, computed with PBE.

CIF file:
```
data_BeReCl2
_chemical_formula_sum 'Be1 Re1 Cl2'
_cell_length_a 3.267
_cell_length_b 2.989
_cell_length_c 7.840
_cell_angle_alpha 90.00
_cell_angle_beta 96.14
_cell_angle_gamma 90.00
_symmetry_space_group_name_H-M 'P 1 m 1'
_symmetry_Int_Tables_number 6
_symmetry_space_group_name_Hall 'P -2y'
loop_
_atom_site_label
_atom_site_type_symbol
_atom_site_fract_x
_atom_site_fract_y
_atom_site_fract_z
_atom_site_occupancy
Be1 Be 0.000 0.000 0.000 1
Re1 Re 0.522 0.500 0.129 1
Cl1 Cl 0.254 0.500 0.827 1
Cl2 Cl 0.610 0.000 0.363 1
```

Properties
The magnetization is 0.002 μB/cell. The volume comes out at 76 Å³/cell. The calculation puts the calculated density at 5.81 g cm⁻³. The electronic total energy is -20.27 eV/cell.



[4]
A relaxed structure of Ba2AgGeAu6, computed with PBE.

CIF file:
```
data_Ba2AgGeAu6
_chemical_formula_sum 'Ba2 Ag1 Ge1 Au6'
_cell_length_a 6.956
_cell_length_b 7.278
_cell_length_c 7.289
_cell_angle_alpha 61.55
_cell_angle_beta 61.62
_cell_angle_gamma 61.71
_symmetry_space_group_name_H-M 'P -1'
_symmetry_Int_Tables_number 2
_symmetry_space_group_name_Hall '-P 1'
loop_
_atom_site_label
_atom_site_type_symbol
_atom_site_fract_x
_atom_site_fract_y
_atom_site_fract_z
_atom_site_occupancy
Ba1 Ba 0.215 0.285 0.285 1
Ag1 Ag 0.500 0.500 0.500 1
Ge1 Ge 0.000 0.000 0.000 1
Au1 Au 0.244 0.757 0.757 1
Au2 Au 0.293 0.800 0.200 1
Au3 Au 0.299 0.194 0.805 1
```

Properties
The magnetization is 0.000 μB/cell. The volume comes out at 270 Å³/cell. The calculation puts the calculated density at 10.05 g cm⁻³. The calculation puts the formation energy at -0.371 eV/atom.



[5]
A relaxed structure of TaAlFe, computed with PBE.

CIF file:
```
data_TaAlFe
_chemical_formula_sum 'Ta4 Al4 Fe4'
_cell_length_a 5.993
_cell_length_b 5.993
_cell_length_c 5.993
_cell_angle_alpha 90.00
_cell_angle_beta 90.00
_cell_angle_gamma 90.00
_symmetry_space_group_name_H-M 'F -4 3 m'
_symmetry_Int_Tables_number 216
_symmetry_space_group_name_Hall 'F -4 2 3'
loop_
_atom_site_label
_atom_site_type_symbol
_atom_site_fract_x
_atom_site_fract_y
_atom_site_fract_z
_atom_site_occupancy
Ta1 Ta 0.000 0.000 0.000 1
Al1 Al 0.250 0.250 0.250 1
Fe1 Fe 0.250 0.250 0.750 1
```

Properties
The magnetization is 4.469 μB/cell. The volume comes out at 215 Å³/cell. The calculation puts the calculated density at 8.14 g cm⁻³. The calculation puts the formation energy at 0.704 eV/atom.



[6]
A relaxed structure of Rb3HgGe2I9, computed with PBE.

CIF file:
```
data_Rb3HgGe2I9
_chemical_formula_sum 'Rb3 Hg1 Ge2 I9'
_cell_length_a 8.4648
_cell_length_b 8.4648
_cell_length_c 10.3772
_cell_angle_alpha 90.00
_cell_angle_beta 90.00
_cell_angle_gamma 120.00
_symmetry_space_group_name_H-M 'P -3 m 1'
_symmetry_Int_Tables_number 164
_symmetry_space_group_name_Hall '-P 3 2"'
loop_
_atom_site_label
_atom_site_type_symbol
_atom_site_fract_x
_atom_site_fract_y
_atom_site_fract_z
_atom_site_occupancy
Rb1 Rb 0.0000 0.0000 0.0000 1
Rb2 Rb 0.3333 0.6667 0.6677 1
Hg1 Hg 0.0000 0.0000 0.5000 1
Ge1 Ge 0.3333 0.6667 0.1657 1
I1 I 0.0000 0.5000 0.0000 1
I2 I 0.1686 0.3372 0.3295 1
```

Properties
The magnetization is 0.000 μB/cell. The volume comes out at 644 Å³/cell. The calculation puts the calculated density at 4.50 g cm⁻³. The electronic total energy is -37.47 eV/cell.



[7]
A relaxed structure of LaMg2InIr, computed with PBE.

CIF file:
```
data_LaMg2InIr
_chemical_formula_sum 'La1 Mg2 In1 Ir1'
_cell_length_a 5.128
_cell_length_b 5.128
_cell_length_c 5.388
_cell_angle_alpha 90.00
_cell_angle_beta 90.00
_cell_angle_gamma 90.00
_symmetry_space_group_name_H-M 'P 4/m m m'
_symmetry_Int_Tables_number 123
_symmetry_space_group_name_Hall '-P 4 2'
loop_
_atom_site_label
_atom_site_type_symbol
_atom_site_fract_x
_atom_site_fract_y
_atom_site_fract_z
_atom_site_occupancy
La1 La 0.000 0.000 0.000 1
Mg1 Mg 0.000 0.500 0.500 1
In1 In 0.500 0.500 0.000 1
Ir1 Ir 0.000 0.000 0.500 1
```

Properties
The magnetization is 0.000 μB/cell. The volume comes out at 142 Å³/cell. The calculation puts the calculated density at 5.80 g cm⁻³. The calculation puts the formation energy at -0.279 eV/atom.



[8]
A relaxed structure of BaLa2Ce, computed with PBE.

CIF file:
```
data_BaLa2Ce
_chemical_formula_sum 'Ba1 La2 Ce1'
_cell_length_a 3.703
_cell_length_b 3.703
_cell_length_c 11.186
_cell_angle_alpha 90.00
_cell_angle_beta 90.00
_cell_angle_gamma 90.00
_symmetry_space_group_name_H-M 'P 4/m m m'
_symmetry_Int_Tables_number 123
_symmetry_space_group_name_Hall '-P 4 2'
loop_
_atom_site_label
_atom_site_type_symbol
_atom_site_fract_x
_atom_site_fract_y
_atom_site_fract_z
_atom_site_occupancy
Ba1 Ba 0.000 0.000 0.000 1
La1 La 0.500 0.500 0.293 1
Ce1 Ce 0.000 0.000 0.500 1
```

Properties
The magnetization is 0.012 μB/cell. The volume comes out at 153 Å³/cell. The calculation puts the calculated density at 6.01 g cm⁻³. The calculation puts the formation energy at 0.114 eV/atom.



[9]
A relaxed structure of Li2Dy2GaPd5, computed with PBE.

CIF file:
```
data_Li2Dy2GaPd5
_chemical_formula_sum 'Li4 Dy4 Ga2 Pd10'
_cell_length_a 9.595
_cell_length_b 9.595
_cell_length_c 3.591
_cell_angle_alpha 90.00
_cell_angle_beta 90.00
_cell_angle_gamma 90.00
_symmetry_space_group_name_H-M 'P 4/m b m'
_symmetry_Int_Tables_number 127
_symmetry_space_group_name_Hall '-P 4 2ab'
loop_
_atom_site_label
_atom_site_type_symbol
_atom_site_fract_x
_atom_site_fract_y
_atom_site_fract_z
_atom_site_occupancy
Li1 Li 0.122 0.378 0.000 1
Dy1 Dy 0.177 0.677 0.000 1
Ga1 Ga 0.000 0.000 0.000 1
Pd1 Pd 0.000 0.500 0.500 1
Pd2 Pd 0.066 0.203 0.500 1
```

Properties
The magnetization is 0.000 μB/cell. The volume comes out at 331 Å³/cell. The calculation puts the calculated density at 9.45 g cm⁻³. The calculation puts the formation energy at -0.692 eV/atom.



[10]
A relaxed structure of NbZn7, computed with PBE.

CIF file:
```
data_NbZn7
_chemical_formula_sum 'Nb4 Zn28'
_cell_length_a 7.922
_cell_length_b 7.922
_cell_length_c 7.922
_cell_angle_alpha 90.00
_cell_angle_beta 90.00
_cell_angle_gamma 90.00
_symmetry_space_group_name_H-M 'F m -3 m'
_symmetry_Int_Tables_number 225
_symmetry_space_group_name_Hall '-F 4 2 3'
loop_
_atom_site_label
_atom_site_type_symbol
_atom_site_fract_x
_atom_site_fract_y
_atom_site_fract_z
_atom_site_occupancy
Nb1 Nb 0.000 0.000 0.000 1
Zn1 Zn 0.000 0.000 0.500 1
Zn2 Zn 0.000 0.250 0.250 1
```

Properties
The magnetization is 0.000 μB/cell. The volume comes out at 497 Å³/cell. The calculation puts the calculated density at 7.36 g cm⁻³. The calculation puts the formation energy at -0.033 eV/atom.



- The highest magnetization belongs to which entry?
  Y2MnCo2